<a>
A relaxed structure of TlTe3PtAu, computed with PBE-GGA.

Cell lengths 14.9242, 4.1569, 11.1415 Å; angles 90.00, 90.00, 90.00 degrees
Fractional positions:
Au  0.3048  0.7500  0.2479
Au  0.8048  0.7500  0.2521
Au  0.1952  0.2500  0.7479
Au  0.6952  0.2500  0.7521
Pt  0.0426  0.2500  0.1431
Pt  0.5426  0.2500  0.3569
Pt  0.4574  0.7500  0.6431
Pt  0.9574  0.7500  0.8569
Te  0.1007  0.7500  0.0030
Te  0.6880  0.2500  0.2124
Te  0.4817  0.7500  0.2181
Te  0.9817  0.7500  0.2819
Te  0.1880  0.2500  0.2876
Te  0.6007  0.7500  0.4970
Te  0.3993  0.2500  0.5030
Te  0.8120  0.7500  0.7124
Te  0.0183  0.2500  0.7181
Te  0.5183  0.2500  0.7819
Te  0.3120  0.7500  0.7876
Te  0.8993  0.2500  0.9970
Tl  0.3306  0.2500  0.0286
Tl  0.8306  0.2500  0.4714
Tl  0.1694  0.7500  0.5286
Tl  0.6694  0.7500  0.9714

SG: Pnma (62)
V in Å³ per cell: 691


<b>
A relaxed structure of TlTe3PtAu, computed with PBE-GGA.

Cell lengths 8.3387, 4.1045, 10.6358 Å; angles 90.00, 104.80, 90.00 degrees
Fractional positions:
Au  0.5118  0.7500  0.4044
Au  0.4882  0.2500  0.5956
Pt  0.1595  0.2500  0.1408
Pt  0.8405  0.7500  0.8592
Te  0.9405  0.7500  0.1214
Te  0.3750  0.7500  0.1476
Te  0.2003  0.2500  0.4051
Te  0.7998  0.7500  0.5949
Te  0.6250  0.2500  0.8524
Te  0.0595  0.2500  0.8786
Tl  0.7774  0.2500  0.3462
Tl  0.2226  0.7500  0.6538

SG: P2_1/m (11)
V in Å³ per cell: 352


The most stable of them is <a>.


<a>
A relaxed structure of TlTe3PtAu, computed with PBE-GGA.

Cell lengths 9.1016, 9.1016, 9.6406 Å; angles 104.07, 104.07, 25.78 degrees
Fractional positions:
Au  0.5000  0.5000  0.2128
Au  0.5000  0.5000  0.7872
Pt  0.1700  0.1700  0.0833
Pt  0.8300  0.8300  0.9167
Te  0.0000  0.0000  0.0000
Te  0.3343  0.3343  0.1016
Te  0.6618  0.6618  0.2622
Te  0.5000  0.5000  0.5000
Te  0.3382  0.3382  0.7378
Te  0.6657  0.6657  0.8984
Tl  0.8555  0.8555  0.4398
Tl  0.1445  0.1445  0.5602

SG: C2/m (12)
V in Å³ per cell: 336


<b>
A relaxed structure of TlTe3PtAu, computed with PBE-GGA.

Cell lengths 11.7763, 4.1025, 13.1925 Å; angles 90.00, 90.00, 90.00 degrees
Fractional positions:
Au  0.2489  0.7500  0.1092
Au  0.7489  0.7500  0.3908
Au  0.2511  0.2500  0.6092
Au  0.7511  0.2500  0.8908
Pt  0.4990  0.2500  0.2497
Pt  0.9990  0.2500  0.2503
Pt  0.0010  0.7500  0.7497
Pt  0.5010  0.7500  0.7503
Te  0.4813  0.7500  0.1179
Te  0.0166  0.7500  0.1185
Te  0.7488  0.2500  0.2385
Te  0.2488  0.2500  0.2615
Te  0.5166  0.7500  0.3815
Te  0.9813  0.7500  0.3821
Te  0.0187  0.2500  0.6179
Te  0.4834  0.2500  0.6185
Te  0.7512  0.7500  0.7385
Te  0.2512  0.7500  0.7615
Te  0.9834  0.2500  0.8815
Te  0.5187  0.2500  0.8821
Tl  0.7493  0.7500  0.0486
Tl  0.2493  0.7500  0.4514
Tl  0.7507  0.2500  0.5486
Tl  0.2507  0.2500  0.9514

SG: Pnma (62)
V in Å³ per cell: 637


<c>
A relaxed structure of TlTe3PtAu, computed with PBE-GGA.

Cell lengths 9.6607, 4.2060, 16.4350 Å; angles 90.00, 90.00, 90.00 degrees
Fractional positions:
Au  0.7152  0.7500  0.1800
Au  0.2152  0.7500  0.3200
Au  0.7848  0.2500  0.6800
Au  0.2848  0.2500  0.8200
Pt  0.3360  0.7500  0.0381
Pt  0.8360  0.7500  0.4619
Pt  0.1640  0.2500  0.5381
Pt  0.6640  0.2500  0.9619
Te  0.8100  0.7500  0.0264
Te  0.4937  0.2500  0.0911
Te  0.1463  0.7500  0.1622
Te  0.6463  0.7500  0.3378
Te  0.9937  0.2500  0.4089
Te  0.3100  0.7500  0.4736
Te  0.6900  0.2500  0.5264
Te  0.0063  0.7500  0.5911
Te  0.3537  0.2500  0.6622
Te  0.8537  0.2500  0.8378
Te  0.5063  0.7500  0.9089
Te  0.1900  0.2500  0.9736
Tl  0.9254  0.2500  0.2134
Tl  0.4254  0.2500  0.2866
Tl  0.5746  0.7500  0.7134
Tl  0.0746  0.7500  0.7866

SG: Pnma (62)
V in Å³ per cell: 668


The most stable of them is <c>.


<a>
A relaxed structure of RbSnAu3S4, computed with PBE-GGA.

Cell lengths 6.4326, 6.4326, 6.4326 Å; angles 90.00, 90.00, 90.00 degrees
Fractional positions:
Au  0.5000  0.5000  0.0000
Au  0.5000  0.0000  0.5000
Au  0.0000  0.5000  0.5000
Rb  0.0000  0.0000  0.0000
S  0.2839  0.2839  0.2839
S  0.7161  0.7161  0.2839
S  0.7161  0.2839  0.7161
S  0.2839  0.7161  0.7161
Sn  0.5000  0.5000  0.5000

SG: P-43m (215)
V in Å³ per cell: 266


<b>
A relaxed structure of RbSnAu3S4, computed with PBE-GGA.

Cell lengths 6.1495, 7.6678, 10.8875 Å; angles 90.00, 99.19, 90.00 degrees
Fractional positions:
Au  0.0289  0.2500  0.1643
Au  0.1347  0.0601  0.4090
Au  0.1347  0.4399  0.4090
Au  0.8653  0.5601  0.5910
Au  0.8653  0.9399  0.5910
Au  0.9711  0.7500  0.8357
Rb  0.3069  0.7500  0.1464
Rb  0.6931  0.2500  0.8536
S  0.3562  0.2500  0.0792
S  0.8180  0.5151  0.2656
S  0.8180  0.9849  0.2656
S  0.4419  0.2500  0.4798
S  0.5581  0.7500  0.5202
S  0.1820  0.0151  0.7344
S  0.1820  0.4849  0.7344
S  0.6438  0.7500  0.9208
Sn  0.5936  0.2500  0.2793
Sn  0.4064  0.7500  0.7207

SG: P2_1/m (11)
V in Å³ per cell: 507


The most stable of them is <b>.


<a>
A relaxed structure of RbTbAu3S4, computed with PBE-GGA.

Cell lengths 5.8048, 7.5207, 11.2596 Å; angles 90.00, 103.56, 90.00 degrees
Fractional positions:
Au  0.5609  0.2500  0.1913
Au  0.7007  0.0625  0.4466
Au  0.7007  0.4375  0.4466
Au  0.2993  0.5625  0.5534
Au  0.2993  0.9375  0.5534
Au  0.4391  0.7500  0.8087
Rb  0.7798  0.7500  0.1210
Rb  0.2202  0.2500  0.8790
S  0.8609  0.2500  0.0843
S  0.3833  0.5167  0.2751
S  0.3833  0.9833  0.2751
S  0.9591  0.7500  0.4501
S  0.0409  0.2500  0.5499
S  0.6167  0.0167  0.7249
S  0.6167  0.4833  0.7249
S  0.1391  0.7500  0.9157
Tb  0.1177  0.2500  0.3123
Tb  0.8823  0.7500  0.6877

SG: P2_1/m (11)
V in Å³ per cell: 478


<b>
A relaxed structure of RbTbAu3S4, computed with PBE-GGA.

Cell lengths 6.4005, 6.4005, 6.4005 Å; angles 90.00, 90.00, 90.00 degrees
Fractional positions:
Au  0.5000  0.5000  0.0000
Au  0.5000  0.0000  0.5000
Au  0.0000  0.5000  0.5000
Rb  0.0000  0.0000  0.0000
S  0.2719  0.2719  0.2719
S  0.7281  0.7281  0.2719
S  0.7281  0.2719  0.7281
S  0.2719  0.7281  0.7281
Tb  0.5000  0.5000  0.5000

SG: P-43m (215)
V in Å³ per cell: 262


The most stable of them is <a>.


<a>
A relaxed structure of RbSnAuSe3, computed with PBE-GGA.

Cell lengths 9.1554, 4.1682, 10.1970 Å; angles 90.00, 110.63, 90.00 degrees
Fractional positions:
Au  0.4935  0.2500  0.0965
Au  0.5065  0.7500  0.9035
Rb  0.2434  0.7500  0.2069
Rb  0.7566  0.2500  0.7931
Se  0.7741  0.7500  0.0816
Se  0.6241  0.2500  0.3573
Se  0.0475  0.2500  0.3662
Se  0.9525  0.7500  0.6338
Se  0.3759  0.7500  0.6427
Se  0.2259  0.2500  0.9184
Sn  0.8251  0.7500  0.3541
Sn  0.1749  0.2500  0.6459

SG: P2_1/m (11)
V in Å³ per cell: 364


<b>
A relaxed structure of RbSnAuSe3, computed with PBE-GGA.

Cell lengths 8.6681, 8.6681, 10.7069 Å; angles 90.00, 90.00, 26.76 degrees
Fractional positions:
Au  0.3866  0.3866  0.2500
Au  0.6134  0.6134  0.7500
Rb  0.7205  0.7205  0.2500
Rb  0.2795  0.2795  0.7500
Se  0.3842  0.3842  0.0233
Se  0.0489  0.0489  0.2500
Se  0.3842  0.3842  0.4767
Se  0.6158  0.6158  0.5233
Se  0.9511  0.9511  0.7500
Se  0.6158  0.6158  0.9767
Sn  0.0000  0.0000  0.0000
Sn  0.0000  0.0000  0.5000

SG: Cmcm (63)
V in Å³ per cell: 362


The most stable of them is <a>.


<a>
A relaxed structure of RbSnAu3Se4, computed with PBE-GGA.

Cell lengths 6.6373, 6.6373, 6.6373 Å; angles 90.00, 90.00, 90.00 degrees
Fractional positions:
Au  0.5000  0.5000  0.0000
Au  0.5000  0.0000  0.5000
Au  0.0000  0.5000  0.5000
Rb  0.0000  0.0000  0.0000
Se  0.2795  0.2795  0.2795
Se  0.7205  0.7205  0.2795
Se  0.7205  0.2795  0.7205
Se  0.2795  0.7205  0.7205
Sn  0.5000  0.5000  0.5000

SG: P-43m (215)
V in Å³ per cell: 292


<b>
A relaxed structure of RbSnAu3Se4, computed with PBE-GGA.

Cell lengths 6.2608, 7.9104, 10.8965 Å; angles 90.00, 100.23, 90.00 degrees
Fractional positions:
Au  0.0110  0.2500  0.1756
Au  0.1438  0.0589  0.4185
Au  0.1438  0.4411  0.4185
Au  0.8562  0.5589  0.5815
Au  0.8562  0.9411  0.5815
Au  0.9890  0.7500  0.8244
Rb  0.2760  0.7500  0.1421
Rb  0.7240  0.2500  0.8579
Se  0.3315  0.2500  0.0662
Se  0.8217  0.5336  0.2645
Se  0.8217  0.9664  0.2645
Se  0.4646  0.2500  0.4885
Se  0.5354  0.7500  0.5115
Se  0.1783  0.0336  0.7355
Se  0.1783  0.4664  0.7355
Se  0.6685  0.7500  0.9338
Sn  0.5997  0.2500  0.2714
Sn  0.4003  0.7500  0.7286

SG: P2_1/m (11)
V in Å³ per cell: 531


The most stable of them is <b>.


<a>
A relaxed structure of RbTbAu3Se4, computed with PBE-GGA.

Cell lengths 6.0179, 7.6453, 10.9149 Å; angles 90.00, 105.09, 90.00 degrees
Fractional positions:
Au  0.0601  0.2500  0.2006
Au  0.1961  0.0619  0.4573
Au  0.1961  0.4381  0.4573
Au  0.8039  0.5619  0.5427
Au  0.8039  0.9381  0.5427
Au  0.9399  0.7500  0.7994
Rb  0.2659  0.7500  0.1079
Rb  0.7341  0.2500  0.8921
Se  0.3327  0.2500  0.0646
Se  0.8673  0.5303  0.2671
Se  0.8673  0.9697  0.2671
Se  0.4454  0.7500  0.4353
Se  0.5546  0.2500  0.5647
Se  0.1327  0.0303  0.7329
Se  0.1327  0.4697  0.7329
Se  0.6673  0.7500  0.9354
Tb  0.6088  0.2500  0.3096
Tb  0.3912  0.7500  0.6904

SG: P2_1/m (11)
V in Å³ per cell: 485


<b>
A relaxed structure of RbTbAu3Se4, computed with PBE-GGA.

Cell lengths 6.5680, 6.5680, 6.5680 Å; angles 90.00, 90.00, 90.00 degrees
Fractional positions:
Au  0.5000  0.5000  0.0000
Au  0.5000  0.0000  0.5000
Au  0.0000  0.5000  0.5000
Rb  0.0000  0.0000  0.0000
Se  0.2682  0.2682  0.2682
Se  0.7318  0.7318  0.2682
Se  0.7318  0.2682  0.7318
Se  0.2682  0.7318  0.7318
Tb  0.5000  0.5000  0.5000

SG: P-43m (215)
V in Å³ per cell: 283


The most stable of them is <a>.


<a>
A relaxed structure of RbSnAu, computed with PBE-GGA.

Cell lengths 5.2631, 5.2631, 5.2631 Å; angles 60.00, 60.00, 60.00 degrees
Fractional positions:
Au  0.0000  0.0000  0.0000
Rb  0.2500  0.2500  0.2500
Sn  0.7500  0.7500  0.7500

SG: F-43m (216)
V in Å³ per cell: 103


<b>
A relaxed structure of RbSnAu, computed with PBE-GGA.

Cell lengths 5.4760, 5.4760, 5.4760 Å; angles 60.00, 60.00, 60.00 degrees
Fractional positions:
Au  0.2500  0.2500  0.2500
Rb  0.0000  0.0000  0.0000
Sn  0.7500  0.7500  0.7500

SG: F-43m (216)
V in Å³ per cell: 116


The most stable of them is <a>.